(1)
Compound: LiSnAsOs
Source: the Open Quantum Materials Database
Functional: PBE
Structure: relaxed

extended XYZ file:
```
4
Lattice="0.000 3.194 3.194 3.194 0.000 3.194 3.194 3.194 0.000" Properties=species:S:1:pos:R:3 pbc="T T T"
Li 0.000 0.000 0.000
Sn 1.597 1.597 1.597
As 4.791 4.791 4.791
Os 3.194 3.194 3.194
```

Values from the calculation:
Spin magnetization ... 0.0 μB/f.u.
Energy above the most stable polymorph in this dataset ... 0 meV per atom
VASP energy ... -5.43 eV per atom



(2)
Compound: LiZrAsOs
Source: the Open Quantum Materials Database
Functional: PBE
Structure: relaxed

extended XYZ file:
```
4
Lattice="0.000 3.123 3.123 3.123 0.000 3.123 3.123 3.123 0.000" Properties=species:S:1:pos:R:3 pbc="T T T"
Li 0.000 0.000 0.000
Zr 4.685 4.685 4.685
As 3.123 3.123 3.123
Os 1.562 1.562 1.562
```

Values from the calculation:
Spin magnetization ... 0.0 μB/f.u.
Energy above the most stable polymorph in this dataset ... 302 meV per atom
VASP energy ... -6.71 eV per atom